Version P
DFT (PBE) results for crystalline La8HgOs2 at its relaxed geometry.

Values from the calculation:
As for the symmetry: No. 12. The value obtained for the total magnetization is 0.00 Bohr magnetons per cell.

Unit cell a=8.5515 b=8.5515 c=6.6602 alpha=97.44 beta=97.44 gamma=48.24
Last column: nearest neighbours and their distance in Å.
Fractional coordinates of all 11 atoms:
La (0.0698, 0.0698, 0.3286)  1 Os 2.67
La (0.1264, 0.6104, 0.1203)  2 Os 2.92-3.01
La (0.3002, 0.3002, 0.6197)  1 Os 2.87
La (0.3896, 0.8736, 0.8797)  2 Os 2.92-3.01
La (0.6104, 0.1264, 0.1203)  2 Os 2.92-3.01
La (0.6998, 0.6998, 0.3803)  1 Os 2.87
La (0.8736, 0.3896, 0.8797)  2 Os 2.92-3.01
La (0.9302, 0.9302, 0.6714)  1 Os 2.67
Hg (0.5000, 0.5000, 0.5000)  6 La 3.33-3.46
Os (0.2245, 0.2245, 0.2004)  4 La 2.67-2.92
Os (0.7755, 0.7755, 0.7996)  4 La 2.67-2.92

Version Q
DFT (PBE) results for crystalline La8HgOs2 at its relaxed geometry.

Values from the calculation:
As for the symmetry: No. 8. The value obtained for the total magnetization is 0.00 Bohr magnetons per cell.

Unit cell a=8.2755 b=8.2755 c=5.7994 alpha=97.38 beta=97.38 gamma=115.79
Last column: nearest neighbours and their distance in Å.
Fractional coordinates of all 11 atoms:
La (0.0000, 0.0000, 0.0000)  4 La 3.27-3.45, 2 Os 3.34, 1 Hg 3.43
La (0.1998, 0.1998, 0.5913)  4 La 3.27-3.45, 2 Os 3.35, 1 Hg 3.43
La (0.2657, 0.5190, 0.2391)  2 Os 2.89-2.96
La (0.3499, 0.8451, 0.7942)  2 Os 2.97-2.98
La (0.5190, 0.2657, 0.2391)  2 Os 2.89-2.96
La (0.6786, 0.9315, 0.3488)  2 Os 2.89-2.95
La (0.8451, 0.3499, 0.7942)  2 Os 2.97-2.98
La (0.9315, 0.6786, 0.3488)  2 Os 2.89-2.95
Hg (0.6000, 0.6000, 0.7934)  8 La 3.43-3.74
Os (0.3036, 0.8949, 0.2952)  6 La 2.89-2.98
Os (0.8949, 0.3036, 0.2952)  6 La 2.89-2.98

The structure with the least stability is version Q.

Version P
DFT (PBE) results for crystalline La4Hg2Os at its relaxed geometry.

Values from the calculation:
As for the symmetry: No. 12. The value obtained for the total magnetization is 0.00 Bohr magnetons per cell.

Unit cell a=6.3054 b=6.3054 c=8.9234 alpha=116.63 beta=116.63 gamma=43.81
Last column: nearest neighbours and their distance in Å.
Fractional coordinates of all 7 atoms:
La (0.0685, 0.0685, 0.3444)  1 Os 2.78
La (0.3322, 0.3322, 0.9399)  2 Os 2.94
La (0.6678, 0.6678, 0.0601)  2 Os 2.94
La (0.9315, 0.9315, 0.6556)  1 Os 2.78
Hg (0.3555, 0.3555, 0.3360)  1 Hg 3.23, 8 La 3.35-3.47
Hg (0.6445, 0.6445, 0.6640)  1 Hg 3.23, 8 La 3.35-3.47
Os (0.0000, 0.0000, 0.0000)  6 La 2.78-2.94

Version Q
DFT (PBE) results for crystalline La4Hg2Os at its relaxed geometry.

Values from the calculation:
As for the symmetry: No. 139. The value obtained for the total magnetization is 0.00 Bohr magnetons per cell.

Unit cell a=8.7824 b=8.7824 c=8.7824 alpha=143.10 beta=143.10 gamma=53.17
Last column: nearest neighbours and their distance in Å.
Fractional coordinates of all 7 atoms:
La (0.0000, 0.5000, 0.5000)  2 Os 2.78
La (0.1806, 0.1806, 0.0000)  1 Os 2.84, 1 Hg 3.13
La (0.5000, 0.0000, 0.5000)  2 Os 2.78
La (0.8194, 0.8194, 0.0000)  1 Os 2.84, 1 Hg 3.13
Hg (0.3796, 0.3796, 0.0000)  5 La 3.13-3.36
Hg (0.6204, 0.6204, 0.0000)  5 La 3.13-3.36
Os (0.0000, 0.0000, 0.0000)  6 La 2.78-2.84

The structure with the least stability is version Q.

Version P
DFT (PBE) results for crystalline LaHg3Os at its relaxed geometry.

Values from the calculation:
As for the symmetry: No. 221. The value obtained for the total magnetization is 0.20 Bohr magnetons per cell.

Unit cell a=5.1901 b=5.1901 c=5.1901 alpha=90.00 beta=90.00 gamma=90.00
Last column: nearest neighbours and their distance in Å.
Fractional coordinates of all 5 atoms:
La (0.0000, 0.0000, 0.0000)  12 Hg 3.67
Hg (0.0000, 0.5000, 0.5000)  2 Os 2.60
Hg (0.5000, 0.0000, 0.5000)  2 Os 2.60
Hg (0.5000, 0.5000, 0.0000)  2 Os 2.60
Os (0.5000, 0.5000, 0.5000)  6 Hg 2.60

Version Q
DFT (PBE) results for crystalline LaHg3Os at its relaxed geometry.

Values from the calculation:
As for the symmetry: No. 221. The value obtained for the total magnetization is 2.07 Bohr magnetons per cell.

Unit cell a=6.0452 b=6.0452 c=6.0452 alpha=90.00 beta=90.00 gamma=90.00
Last column: nearest neighbours and their distance in Å.
Fractional coordinates of all 5 atoms:
La (0.0000, 0.0000, 0.0000)  6 Hg 3.02
Hg (0.0000, 0.0000, 0.5000)  2 La 3.02
Hg (0.0000, 0.5000, 0.0000)  2 La 3.02
Hg (0.5000, 0.0000, 0.0000)  2 La 3.02
Os (0.5000, 0.5000, 0.5000)  12 Hg 4.27

The structure with the least stability is version Q.